VASP calculation (GGA+U) on a geometry-optimized NbCrCd2O structure.

```
data_NbCrCd2O
_chemical_formula_sum 'Nb1 Cr1 Cd2 O1'
_cell_length_a 5.4471
_cell_length_b 5.4471
_cell_length_c 3.4845
_cell_angle_alpha 90.00
_cell_angle_beta 90.00
_cell_angle_gamma 90.00
_space_group_name_H-M_alt 'P 4/m m m'
_space_group_IT_number 123
_space_group_name_Hall '-P 4 2'
loop_
_atom_site_label
_atom_site_fract_x
_atom_site_fract_y
_atom_site_fract_z
Nb1 0.0000 0.0000 0.0000
Cr1 0.5000 0.5000 0.5000
Cd1 0.0000 0.5000 0.5000
O1 0.5000 0.5000 0.0000
```

- V: 20.7 Å³ per atom
- Energy: -22.46 eV per cell
- Density of states at the Fermi level: 1.42 states/eV/atom